# 1
A plane-wave DFT calculation with PBE was carried out for crystalline TiTeSe2 at its relaxed geometry.

The structure belongs to space group I-42d (No. 122); the cell edges are 6.8132, 6.8132 and 10.3228 Å and the angles 90.00°, 90.00° and 90.00°. The distinct sites, in fractional coordinates, are Ti at (0.0000, 0.0000, 0.0000), Te at (0.0000, 0.0000, 0.5000) and Se at (0.1721, 0.2500, 0.1250).

Its raw formation energy is -0.190 eV/atom. The raw total energy comes out at -4.69 eV per atom. The calculation puts the size of the total moment at 0.0001 μB per atom.



# 2
A plane-wave DFT calculation with PBE was carried out for crystalline TiTeSe2 at its relaxed geometry.

The structure belongs to space group R-3m (No. 166, hexagonal axes); the cell edges are 3.5631, 3.5631 and 26.5794 Å and the angles 90.00°, 90.00° and 120.00°. The distinct sites, in fractional coordinates, are Ti at (0.0000, 0.0000, 0.0000), Te at (0.0000, 0.0000, 0.5000) and Se at (0.0000, 0.0000, 0.3912).

Its raw formation energy is -0.663 eV/atom. The raw total energy comes out at -5.16 eV per atom. The calculation puts the size of the total moment at 0.0000 μB per atom.



# 3
A plane-wave DFT calculation with PBE was carried out for crystalline Ti3TeSe at its relaxed geometry.

The structure belongs to space group Pm-3m (No. 221); the cell edges are 4.7316, 4.7316 and 4.7316 Å and the angles 90.00°, 90.00° and 90.00°. The distinct sites, in fractional coordinates, are Ti at (0.0000, 0.0000, 0.5000), Te at (0.5000, 0.5000, 0.5000) and Se at (0.0000, 0.0000, 0.0000).

Its raw formation energy is -0.021 eV/atom. The raw total energy comes out at -6.08 eV per atom. The calculation puts the size of the total moment at 0.3850 μB per atom. Its energy above the most stable polymorph in this dataset is 2.72 eV per formula unit.



# 4
A plane-wave DFT calculation with PBE was carried out for crystalline Ti2Te2Se at its relaxed geometry.

The structure belongs to space group P4/mbm (No. 127); the cell edges are 7.5752, 7.5752 and 3.6895 Å and the angles 90.00°, 90.00° and 90.00°. The distinct sites, in fractional coordinates, are Ti at (0.1399, 0.3601, 0.0000), Te at (0.1478, 0.6478, 0.5000) and Se at (0.0000, 0.0000, 0.0000).

Its raw formation energy is -0.551 eV/atom. The raw total energy comes out at -5.66 eV per atom. The calculation puts the size of the total moment at 0.0000 μB per atom. Its energy above the most stable polymorph in this dataset is 1.08 eV per formula unit.



# 5
A plane-wave DFT calculation with PBE was carried out for crystalline TiTe2Se at its relaxed geometry.

The structure belongs to space group R-3m (No. 166, hexagonal axes); the cell edges are 3.5828, 3.5828 and 28.7182 Å and the angles 90.00°, 90.00° and 120.00°. The distinct sites, in fractional coordinates, are Ti at (0.0000, 0.0000, 0.0000), Te at (0.0000, 0.0000, 0.0920) and Se at (0.0000, 0.0000, 0.5000).

Its raw formation energy is 0.502 eV/atom. The raw total energy comes out at -3.91 eV per atom. The calculation puts the size of the total moment at 0.0000 μB per atom.



# 6
A plane-wave DFT calculation with PBE was carried out for crystalline Ti3TeSe at its relaxed geometry.

The structure belongs to space group C2/c (No. 15); the cell edges are 11.5396, 10.3134 and 6.5806 Å and the angles 90.00°, 90.69° and 90.00°. The distinct sites, in fractional coordinates, are Ti at (0.1065, 0.2415, 0.4059), Ti at (0.1083, 0.0675, 0.1020), Ti at (0.1558, 0.3332, 0.9478), Te at (0.0000, 0.1615, 0.7500), Te at (0.0000, 0.4508, 0.2500) and Se at (0.2367, 0.4264, 0.5932).

Its raw formation energy is -0.565 eV/atom. The raw total energy comes out at -6.63 eV per atom. The calculation puts the size of the total moment at 0.0002 μB per atom. Its energy above the most stable polymorph in this dataset is 0.00 eV per formula unit.